## CuAs2 (PBE)

Data for a relaxed CuAs2 crystal.

Output
Symmetry: P6_3/mmc, No. 194
ΔE_f: 99 kJ/mol of formula units
Energy: -24.74 eV/cell

```
CuAs2
1.0
4.163 0.000 0.000
-2.081 3.605 0.000
0.000 0.000 7.179
Cu As
2 4
Cartesian
0.000 2.403 1.795 Cu
2.081 1.202 5.385 Cu
0.000 0.000 0.000 As
0.000 0.000 3.590 As
0.000 2.403 5.385 As
2.081 1.202 1.795 As
```

## CuAs3 (PBE)

Data for a relaxed CuAs3 crystal.

Output
Symmetry: Pmm2, No. 25
ΔE to the lowest computed polymorph: 0 meV per atom
ΔE_f: 56 kJ/mol of formula units
Energy: -17.46 eV/cell

```
CuAs3
1.0
3.577 0.000 0.000
0.000 5.290 0.000
0.000 0.000 3.952
Cu As
1 3
Cartesian
0.000 0.000 0.000 Cu
0.000 2.645 0.092 As
1.789 0.000 2.012 As
1.789 2.645 1.789 As
```

## Cu3As5 (PBE)

Data for a relaxed Cu3As5 crystal.

Output
Symmetry: Cmmm, No. 65
ΔE to the lowest computed polymorph: 135 meV per atom
ΔE_f: 231 kJ/mol of formula units
Energy: -33.14 eV/cell

```
Cu3As5
1.0
3.577 -4.880 0.000
3.577 4.880 0.000
0.000 0.000 3.943
Cu As
3 5
Cartesian
0.000 0.000 0.000 Cu
3.577 2.994 1.971 Cu
3.577 -2.994 1.971 Cu
1.789 2.440 0.000 As
1.662 0.000 1.971 As
1.789 -2.440 0.000 As
3.577 0.000 0.000 As
5.492 0.000 1.971 As
```

## CuAs3 (PBE)

Data for a relaxed CuAs3 crystal.

Output
Symmetry: Imm2, No. 44
ΔE to the lowest computed polymorph: 36 meV per atom
ΔE_f: 70 kJ/mol of formula units
Energy: -17.32 eV/cell

```
CuAs3
1.0
-1.406 5.425 2.580
1.406 -5.425 2.580
1.406 5.425 -2.580
Cu As
1 3
Cartesian
0.000 0.000 0.000 Cu
1.406 0.000 2.153 As
0.000 3.634 1.344 As
0.000 7.215 1.344 As
```

## Cu4As (PBE)

Data for a relaxed Cu4As crystal.

Output
Symmetry: Im-3m, No. 229
ΔE to the lowest computed polymorph: 293 meV per atom
ΔE_f: 161 kJ/mol of formula units
Energy: -19.37 eV/cell

```
Cu4As
1.0
-2.730 2.730 2.730
2.730 -2.730 2.730
2.730 2.730 -2.730
Cu As
4 1
Cartesian
1.365 1.365 -1.365 Cu
1.365 -1.365 1.365 Cu
-1.365 1.365 1.365 Cu
1.365 1.365 1.365 Cu
0.000 0.000 0.000 As
```

## Cu5As4 (PBE)

Data for a relaxed Cu5As4 crystal.

Output
Symmetry: P6_3/mcm, No. 193
ΔE to the lowest computed polymorph: 106 meV per atom
ΔE_f: 183 kJ/mol of formula units
Energy: -74.37 eV/cell

```
Cu5As4
1.0
7.878 0.000 0.000
-3.939 6.822 0.000
0.000 0.000 5.149
Cu As
10 8
Cartesian
-1.167 2.022 1.287 Cu
-2.771 4.800 3.862 Cu
2.335 0.000 1.287 Cu
1.167 2.022 3.862 Cu
0.000 4.548 0.000 Cu
0.000 4.548 2.574 Cu
3.939 2.274 0.000 Cu
3.939 2.274 2.574 Cu
5.543 0.000 3.862 Cu
2.771 4.800 1.287 Cu
0.000 0.000 0.000 As
0.000 0.000 2.574 As
-1.560 2.702 3.862 As
-2.379 4.120 1.287 As
3.120 0.000 3.862 As
1.560 2.702 1.287 As
4.757 0.000 1.287 As
2.379 4.120 3.862 As
```

Q: energy of number 4 (CuAs3)?
A: -17.32 eV/cell

Q: Which of these has the highest energy?
A: number 4